[1]
The following is a PBE calculation of a geometry-optimized Co2CuCl structure, from Alexandria via LeMat-Bulk.

## Properties
The distance to the lowest polymorph of the same formula is 0.139 eV per atom. The total energy is -4.69 eV/atom.

Structure (POSCAR):
```
Co2CuCl
1.0
4.088 -1.412 0.000
4.088 1.412 0.000
-3.964 0.000 5.774
Co Cu Cl
2 1 1
Direct
0.144 0.144 0.341
0.856 0.856 0.659
0.500 0.500 0.500
0.500 0.500 0.000
```

---

[2]
The following is a PBE calculation of a geometry-optimized TeRhAu structure, from Alexandria via LeMat-Bulk.

## Properties
The distance to the lowest polymorph of the same formula is 0.101 eV per atom. The total energy is -4.56 eV/atom.

Structure (POSCAR):
```
TeRhAu
1.0
-1.622 1.622 5.644
1.622 -1.622 5.644
1.622 1.622 -5.644
Te Rh Au
1 1 1
Direct
0.000 0.000 0.000
0.375 0.375 0.000
0.714 0.714 0.000
```

---

[3]
The following is a PBE calculation of a geometry-optimized TbNd2Rh2 structure, from Alexandria via LeMat-Bulk.

## Properties
Its calculated formation energy is -541 meV per atom. The distance to the lowest polymorph of the same formula is 0.073 eV per atom. The total energy is -6.32 eV/atom.

Structure (POSCAR):
```
TbNd2Rh2
1.0
2.370 1.369 6.321
-2.370 1.369 6.321
0.000 -2.737 6.321
Tb Nd Rh
1 2 2
Direct
0.000 0.000 0.000
0.221 0.221 0.221
0.779 0.779 0.779
0.385 0.385 0.385
0.615 0.615 0.615
```

---

[4]
The following is a PBE calculation of a geometry-optimized V2Zn2Ga structure, from Alexandria via LeMat-Bulk.

## Properties
Its calculated formation energy is 208 meV per atom. The distance to the lowest polymorph of the same formula is 0.304 eV per atom. The total energy is -4.55 eV/atom.

Structure (POSCAR):
```
V2Zn2Ga
1.0
6.365 0.000 0.000
0.000 6.365 0.000
0.000 0.000 3.649
V Zn Ga
4 4 2
Direct
0.164 0.336 0.000
0.336 0.836 0.000
0.664 0.164 0.000
0.836 0.664 0.000
0.134 0.634 0.500
0.366 0.134 0.500
0.634 0.866 0.500
0.866 0.366 0.500
0.000 0.000 0.500
0.500 0.500 0.500
```

---

[5]
The following is a PBE calculation of a geometry-optimized CaLaMg3 structure, from Alexandria via LeMat-Bulk.

## Properties
Its calculated formation energy is 763 meV per atom. The distance to the lowest polymorph of the same formula is 0.159 eV per atom. The total energy is -1.58 eV/atom.

Structure (POSCAR):
```
CaLaMg3
1.0
5.866 0.000 0.000
0.000 5.866 0.000
0.000 0.000 5.866
Ca La Mg
1 1 3
Direct
0.000 0.000 0.000
0.500 0.500 0.500
0.000 0.500 0.500
0.500 0.000 0.500
0.500 0.500 0.000
```

---

[6]
The following is a PBE calculation of a geometry-optimized NaYInAg structure, from Alexandria via LeMat-Bulk.

## Properties
Its calculated formation energy is -185 meV per atom. The total energy is -3.53 eV/atom.

Structure (POSCAR):
```
NaYInAg
1.0
0.000 3.658 3.658
3.658 0.000 3.658
3.658 3.658 0.000
Na Y In Ag
1 1 1 1
Direct
0.000 0.000 0.000
0.500 0.500 0.500
0.750 0.750 0.750
0.250 0.250 0.250
```

---

[7]
The following is a PBE calculation of a geometry-optimized Cs2CoI4 structure, from Alexandria via LeMat-Bulk.

## Properties
The total energy is -3.07 eV/atom.

Structure (POSCAR):
```
Cs2CoI4
1.0
11.134 0.000 0.000
0.000 8.354 0.000
0.000 0.000 14.749
Cs Co I
8 4 16
Direct
0.027 0.250 0.164
0.132 0.750 0.406
0.368 0.250 0.906
0.473 0.750 0.664
0.527 0.250 0.336
0.632 0.750 0.094
0.868 0.250 0.594
0.973 0.750 0.836
0.240 0.750 0.076
0.260 0.250 0.576
0.740 0.750 0.424
0.760 0.250 0.924
0.010 0.750 0.103
0.168 0.502 0.648
0.168 0.998 0.648
0.195 0.250 0.407
0.305 0.750 0.907
0.332 0.002 0.148
0.332 0.498 0.148
0.490 0.250 0.603
0.510 0.750 0.397
0.668 0.502 0.852
0.668 0.998 0.852
0.695 0.250 0.093
0.805 0.750 0.593
0.832 0.002 0.352
0.832 0.498 0.352
0.990 0.250 0.897
```

---

[8]
The following is a PBE calculation of a geometry-optimized Cr3TeS3 structure, from Alexandria via LeMat-Bulk.

## Properties
The total energy is -6.67 eV/atom.

Structure (POSCAR):
```
Cr3TeS3
1.0
8.919 0.000 0.000
-4.460 7.724 0.000
0.000 0.000 4.779
Cr Te S
6 2 6
Direct
0.156 0.321 0.250
0.165 0.844 0.250
0.321 0.165 0.750
0.679 0.835 0.250
0.835 0.156 0.750
0.844 0.679 0.750
0.333 0.667 0.250
0.667 0.333 0.750
0.140 0.289 0.750
0.149 0.860 0.750
0.289 0.149 0.250
0.711 0.851 0.750
0.851 0.140 0.250
0.860 0.711 0.250
```

---

[9]
The following is a PBE calculation of a geometry-optimized GeBBr3 structure, from Alexandria via LeMat-Bulk.

## Properties
The total energy is -2.69 eV/atom.

Structure (POSCAR):
```
GeBBr3
1.0
4.788 0.000 0.000
0.000 4.788 0.000
0.000 0.000 4.788
Ge B Br
1 1 3
Direct
0.000 0.000 0.000
0.500 0.500 0.500
0.000 0.500 0.500
0.500 0.000 0.500
0.500 0.500 0.000
```

---

[10]
The following is a PBE calculation of a geometry-optimized Nb2TlOs2 structure, from Alexandria via LeMat-Bulk.

## Properties
Its calculated formation energy is 128 meV per atom. The total energy is -8.87 eV/atom.

Structure (POSCAR):
```
Nb2TlOs2
1.0
7.721 0.000 0.000
0.000 7.721 0.000
0.000 0.000 3.044
Nb Tl Os
4 2 4
Direct
0.157 0.343 0.000
0.343 0.843 0.000
0.657 0.157 0.000
0.843 0.657 0.000
0.000 0.000 0.500
0.500 0.500 0.500
0.133 0.633 0.500
0.367 0.133 0.500
0.633 0.867 0.500
0.867 0.367 0.500
```

---

[11]
The following is a PBE calculation of a geometry-optimized SrTaSb2I structure, from Alexandria via LeMat-Bulk.

## Properties
The distance to the lowest polymorph of the same formula is 1.568 eV per atom. The total energy is -3.23 eV/atom.

Structure (POSCAR):
```
SrTaSb2I
1.0
5.993 0.000 0.000
0.000 5.993 0.000
0.000 0.000 5.912
Sr Ta Sb I
1 1 2 1
Direct
0.000 0.000 0.000
0.500 0.500 0.500
0.000 0.500 0.000
0.500 0.000 0.000
0.000 0.000 0.500
```

---

[12]
The following is a PBE calculation of a geometry-optimized CdSiW2 structure, from Alexandria via LeMat-Bulk.

## Properties
The distance to the lowest polymorph of the same formula is 0.008 eV per atom. The total energy is -7.69 eV/atom.

Structure (POSCAR):
```
CdSiW2
1.0
3.001 0.000 0.000
0.000 3.001 0.000
0.000 0.000 7.290
Cd Si W
1 1 2
Direct
0.000 0.000 0.000
0.000 0.000 0.500
0.500 0.500 0.302
0.500 0.500 0.698
```

---

| no. | V (Å³/cell) |
| --- | --- |
| 1 | 66.7 |
| 2 | 59.4 |
| 3 | 123.1 |
| 4 | 147.8 |
| 5 | 201.8 |
| 6 | 97.9 |
| 7 | 1371.9 |
| 8 | 329.2 |
| 9 | 109.8 |
| 10 | 181.5 |
| 11 | 212.4 |
| 12 | 65.6 |